# 1
Density functional theory data (PBE) for a geometry-optimized Be2ReRu structure.

a = 7.873 Å, b = 7.873 Å, c = 7.873 Å
α = 19.63°, β = 19.63°, γ = 19.63°
Positions (direct):
Be 0.497 0.497 0.497
Be 0.003 0.003 0.003
Re 0.250 0.250 0.250
Ru 0.750 0.750 0.750

Calculated values
**M_tot**: 0.0 Bohr magnetons per cell
**E_form**: 0.08 eV/atom

# 2
Density functional theory data (PBE) for a geometry-optimized BeReRu2 structure.

a = 4.213 Å, b = 4.213 Å, c = 4.213 Å
α = 60.00°, β = 60.00°, γ = 60.00°
Positions (direct):
Ru 0.250 0.250 0.250
Ru 0.750 0.750 0.750
Be 0.000 0.000 0.000
Re 0.500 0.500 0.500

Calculated values
**M_tot**: 0.0 Bohr magnetons per cell
**E_form**: 0.02 eV/atom

# 3
Density functional theory data (PBE) for a geometry-optimized Be2ReRu structure.

a = 2.616 Å, b = 2.616 Å, c = 7.405 Å
α = 90.00°, β = 90.00°, γ = 110.58°
Each line ends with the local moment (μB).
Positions (direct):
Be 0.000 0.000 0.508  0.00
Be 0.000 0.000 0.992  0.00
Ru 0.500 0.500 0.750  0.06
Re 0.500 0.500 0.250  0.00

Calculated values
**M_tot**: 0.1 Bohr magnetons per cell
**E_form**: 0.08 eV/atom

# 4
Density functional theory data (PBE) for a geometry-optimized BeReRu2 structure.

a = 2.800 Å, b = 4.416 Å, c = 4.314 Å
α = 90.00°, β = 90.00°, γ = 90.00°
Positions (direct):
Be 0.500 0.000 0.500
Ru 0.500 0.500 0.000
Ru 0.000 0.000 0.000
Re 0.000 0.500 0.500

Calculated values
**M_tot**: 0.0 Bohr magnetons per cell
**E_form**: 0.28 eV/atom

# 5
Density functional theory data (PBE) for a geometry-optimized Be2ReRu structure.

a = 2.793 Å, b = 2.793 Å, c = 5.824 Å
α = 90.00°, β = 90.00°, γ = 90.01°
Positions (direct):
Be 0.500 0.500 0.210
Be 0.000 0.000 0.024
Re 0.000 0.000 0.484
Ru 0.500 0.500 0.781

Calculated values
**M_tot**: 0.0 Bohr magnetons per cell
**E_form**: -0.17 eV/atom

# 6
Density functional theory data (PBE) for a geometry-optimized Be2ReRu structure.

a = 2.797 Å, b = 2.797 Å, c = 5.680 Å
α = 90.00°, β = 90.00°, γ = 90.00°
Positions (direct):
Re 0.500 0.500 0.250
Be 0.000 0.000 0.980
Be 0.000 0.000 0.520
Ru 0.500 0.500 0.750

Calculated values
**M_tot**: 0.0 Bohr magnetons per cell
**E_form**: -0.07 eV/atom

Quick rundown of energy relative to the lowest polymorph listed for this composition, same order as above: 24.4 17.3 24.2 42.8 0.6 10.2 kJ per mole of atoms